Computed, not measured: a geometry-optimized YHf2Si structure at the PBE-GGA level of DFT. Values from VASP.

Values from the calculation:
DFT total energy ... -7.813 eV per atom
Formation energy from raw total energies ... 0.136 eV/atom
Energy relative to the lowest polymorph listed for this composition ... 32 meV per atom

Structure (Quantum ESPRESSO input):
```
&SYSTEM
  ibrav = 0, nat = 4, ntyp = 3
/
ATOMIC_SPECIES
Y 88.91 Y.upf
Si 28.09 Si.upf
Hf 178.49 Hf.upf
ATOMIC_POSITIONS crystal
Y 0.500 0.500 0.500
Si 0.000 0.000 0.000
Hf 0.250 0.250 0.250
Hf 0.750 0.750 0.750
CELL_PARAMETERS angstrom
0.000 3.454 3.454
3.454 0.000 3.454
3.454 3.454 0.000
```